Entry 1
Computed, not measured: crystalline Li2LaPt2 at its relaxed geometry at the PBE-GGA level of DFT.

Lattice parameters (Å, degrees): 7.7624 7.7624 2.9486 90.00 90.00 90.00
Last column: nearest neighbours and their distance in Å.
Sites, in units of the cell vectors:
Li 0.1169 0.3831 0.0000  1 Li 2.57, 6 Pt 2.71-2.75
Li 0.3831 0.8831 0.0000  1 Li 2.57, 6 Pt 2.71-2.75
Li 0.6169 0.1169 0.0000  1 Li 2.57, 6 Pt 2.71-2.75
Li 0.8831 0.6169 0.0000  1 Li 2.57, 6 Pt 2.71-2.75
La 0.0000 0.0000 0.5000  4 Pt 2.86, 2 La 2.95
La 0.5000 0.5000 0.5000  4 Pt 2.86, 2 La 2.95
Pt 0.1759 0.6759 0.5000  6 Li 2.71-2.75, 2 La 2.86, 2 Pt 2.95
Pt 0.3241 0.1759 0.5000  6 Li 2.71-2.75, 2 La 2.86, 2 Pt 2.95
Pt 0.6759 0.8241 0.5000  6 Li 2.71-2.75, 2 La 2.86, 2 Pt 2.95
Pt 0.8241 0.3241 0.5000  6 Li 2.71-2.75, 2 La 2.86, 2 Pt 2.95

Calculated values
calculated volume: 17.8 A^3/atom
symmetry: P4/mbm (127)
magnetization: 0.00 μB per formula unit

Entry 2
Computed, not measured: crystalline Li2LaPt2 at its relaxed geometry at the PBE-GGA level of DFT.

Lattice parameters (Å, degrees): 7.5505 7.5505 3.0544 90.00 90.00 90.00
Last column: nearest neighbours and their distance in Å.
Sites, in units of the cell vectors:
Li 0.1096 0.3904 0.0000  1 Li 2.34
Li 0.3904 0.8904 0.0000  1 Li 2.34
Li 0.6096 0.1096 0.0000  1 Li 2.34
Li 0.8904 0.6096 0.0000  1 Li 2.34
La 0.0000 0.0000 0.0000  2 La 3.05, 4 Li 3.06, 8 Pt 3.15
La 0.5000 0.5000 0.0000  2 La 3.05, 4 Li 3.06, 8 Pt 3.15
Pt 0.1844 0.6844 0.5000  6 Li 2.68-2.75
Pt 0.3156 0.1844 0.5000  6 Li 2.68-2.75
Pt 0.6844 0.8156 0.5000  6 Li 2.68-2.75
Pt 0.8156 0.3156 0.5000  6 Li 2.68-2.75

Calculated values
calculated volume: 17.4 A^3/atom
symmetry: P4/mbm (127)
magnetization: 0.00 μB per formula unit

Entry 3
Computed, not measured: crystalline Li2LaPt2 at its relaxed geometry at the PBE-GGA level of DFT.

Lattice parameters (Å, degrees): 6.9611 6.9611 6.9611 147.42 147.42 46.74
Last column: nearest neighbours and their distance in Å.
Sites, in units of the cell vectors:
Li 0.2500 0.7500 0.5000  4 Pt 2.66, 4 Li 2.76
Li 0.7500 0.2500 0.5000  4 Pt 2.66, 4 Li 2.76
La 0.0000 0.0000 0.0000  8 Pt 3.09
Pt 0.3911 0.3911 0.0000  4 Li 2.66, 1 Pt 2.78
Pt 0.6089 0.6089 0.0000  4 Li 2.66, 1 Pt 2.78

Calculated values
calculated volume: 19.5 A^3/atom
symmetry: I4/mmm (139)
magnetization: 0.00 μB per formula unit

Quick one: most stable of them? entry 3

Entry 1
Computed, not measured: crystalline LiLa4Pt at its relaxed geometry at the PBE-GGA level of DFT.

Lattice parameters (Å, degrees): 9.3211 9.3211 6.7818 100.26 100.26 132.56
Last column: nearest neighbours and their distance in Å.
Sites, in units of the cell vectors:
Li 0.0875 0.9125 0.7500  6 La 3.12-3.36
Li 0.9125 0.0875 0.2500  6 La 3.12-3.36
La 0.0737 0.5165 0.2827  1 Pt 3.06, 1 Li 3.12, 1 La 3.29
La 0.2082 0.3506 0.7951  2 Pt 2.78-3.02
La 0.3506 0.2082 0.2951  2 Pt 2.78-3.02
La 0.4835 0.9263 0.2173  1 Pt 3.06, 1 Li 3.12, 1 La 3.29
La 0.5165 0.0737 0.7827  1 Pt 3.06, 1 Li 3.12, 1 La 3.29
La 0.6494 0.7918 0.7049  2 Pt 2.78-3.02
La 0.7918 0.6494 0.2049  2 Pt 2.78-3.02
La 0.9263 0.4835 0.7173  1 Pt 3.06, 1 Li 3.12, 1 La 3.29
Pt 0.4296 0.5704 0.2500  6 La 2.78-3.06
Pt 0.5704 0.4296 0.7500  6 La 2.78-3.06

Calculated values
calculated volume: 32.4 A^3/atom
symmetry: C2/c (15)
magnetization: 0.00 μB per formula unit

Entry 2
Computed, not measured: crystalline LiLa4Pt at its relaxed geometry at the PBE-GGA level of DFT.

Lattice parameters (Å, degrees): 6.3608 6.3608 6.3608 60.00 60.00 60.00
Last column: nearest neighbours and their distance in Å.
Sites, in units of the cell vectors:
Li 0.0000 0.0000 0.0000  12 La 3.74, 4 Pt 3.90
La 0.3776 0.3776 0.3776  6 La 3.11-3.25
La 0.3776 0.3776 0.8672  6 La 3.11-3.25
La 0.3776 0.8672 0.3776  6 La 3.11-3.25
La 0.8672 0.3776 0.3776  6 La 3.11-3.25
Pt 0.7500 0.7500 0.7500  12 La 3.72, 4 Li 3.90

Calculated values
calculated volume: 30.3 A^3/atom
symmetry: F-43m (216)
magnetization: 0.00 μB per formula unit

Quick one: most stable of them? entry 1

Entry 1
Computed, not measured: crystalline LiLaSiPt2 at its relaxed geometry at the PBE-GGA level of DFT.

Lattice parameters (Å, degrees): 6.1188 6.1188 6.1188 140.13 140.13 57.66
Last column: nearest neighbours and their distance in Å.
Sites, in units of the cell vectors:
Li 0.0000 0.0000 0.0000  4 Pt 2.46
La 0.2500 0.7500 0.5000  8 Pt 3.25, 4 Si 3.40, 4 Li 3.40
Si 0.5000 0.5000 0.0000  4 Pt 2.46
Pt 0.6218 0.1218 0.5000  2 Si 2.46, 2 Li 2.46, 1 Pt 2.75
Pt 0.8782 0.3782 0.5000  2 Li 2.46, 2 Si 2.46, 1 Pt 2.75

Calculated values
calculated volume: 18.7 A^3/atom
symmetry: I-4m2 (119)
magnetization: 0.00 μB per formula unit

Entry 2
Computed, not measured: crystalline LiLaSiPt2 at its relaxed geometry at the PBE-GGA level of DFT.

Lattice parameters (Å, degrees): 5.1789 5.1789 5.1432 90.00 90.00 90.00
Last column: nearest neighbours and their distance in Å.
Sites, in units of the cell vectors:
Li 0.0000 0.0000 0.0000  2 La 2.57
La 0.0000 0.0000 0.5000  2 Li 2.57, 4 Pt 2.59
Si 0.5000 0.5000 0.0000  8 Pt 3.65, 4 Li 3.66
Pt 0.0000 0.5000 0.5000  2 La 2.59
Pt 0.5000 0.0000 0.5000  2 La 2.59

Calculated values
calculated volume: 27.6 A^3/atom
symmetry: P4/mmm (123)
magnetization: 0.00 μB per formula unit

Quick one: most stable of them? entry 1

Entry 1
Computed, not measured: crystalline Li2LaTcPt at its relaxed geometry at the PBE-GGA level of DFT.

Lattice parameters (Å, degrees): 4.6567 4.6567 5.5433 90.00 90.00 90.00
Last column: nearest neighbours and their distance in Å.
Sites, in units of the cell vectors:
Li 0.0000 0.5000 0.0000  2 Pt 2.33
Li 0.5000 0.0000 0.0000  2 Pt 2.33
La 0.0000 0.0000 0.5000  2 Pt 2.77
Tc 0.5000 0.5000 0.5000  4 La 3.29, 8 Li 3.62
Pt 0.0000 0.0000 0.0000  4 Li 2.33

Calculated values
calculated volume: 24.0 A^3/atom
symmetry: P4/mmm (123)
magnetization: 2.52 μB per formula unit

Entry 2
Computed, not measured: crystalline Li2LaTcPt at its relaxed geometry at the PBE-GGA level of DFT.

Lattice parameters (Å, degrees): 4.5781 4.5781 4.9754 90.00 90.00 90.00
Last column: nearest neighbours and their distance in Å.
Sites, in units of the cell vectors:
Li 0.0000 0.5000 0.0000  2 Pt 2.29
Li 0.5000 0.0000 0.0000  2 Pt 2.29
La 0.0000 0.0000 0.5000  4 Tc 3.24, 8 Li 3.38
Tc 0.5000 0.5000 0.5000  2 Pt 2.49
Pt 0.5000 0.5000 0.0000  4 Li 2.29, 2 Tc 2.49

Calculated values
calculated volume: 20.9 A^3/atom
symmetry: P4/mmm (123)
magnetization: 0.23 μB per formula unit

Quick one: most stable of them? entry 2

Entry 1
Computed, not measured: crystalline LiLa2TlPt at its relaxed geometry at the PBE-GGA level of DFT.

Lattice parameters (Å, degrees): 5.6315 5.6315 4.8016 90.00 90.00 90.00
Last column: nearest neighbours and their distance in Å.
Sites, in units of the cell vectors:
Li 0.0000 0.0000 0.0000  2 Pt 2.40
La 0.0000 0.5000 0.5000  2 Pt 2.82
La 0.5000 0.0000 0.5000  2 Pt 2.82
Tl 0.5000 0.5000 0.0000  8 La 3.70, 4 Li 3.98
Pt 0.0000 0.0000 0.5000  2 Li 2.40

Calculated values
calculated volume: 30.5 A^3/atom
symmetry: P4/mmm (123)
magnetization: 0.00 μB per formula unit

Entry 2
Computed, not measured: crystalline LiLa2TlPt at its relaxed geometry at the PBE-GGA level of DFT.

Lattice parameters (Å, degrees): 8.3484 4.2244 8.3755 90.00 110.47 90.00
Last column: nearest neighbours and their distance in Å.
Sites, in units of the cell vectors:
Li 0.1472 0.2500 0.0629  1 Pt 2.76, 2 Tl 2.99
Li 0.8528 0.7500 0.9371  1 Pt 2.76, 2 Tl 2.99
La 0.1530 0.7500 0.3934  2 Pt 2.93
La 0.4847 0.2500 0.7869  3 Pt 2.94-3.18
La 0.5153 0.7500 0.2131  3 Pt 2.94-3.18
La 0.8470 0.2500 0.6066  2 Pt 2.93
Tl 0.1783 0.7500 0.8231  3 Li 2.99-3.18
Tl 0.8217 0.2500 0.1769  3 Li 2.99-3.18
Pt 0.3930 0.2500 0.3855  1 Li 2.76, 4 La 2.93-2.94, 2 Pt 2.99
Pt 0.6070 0.7500 0.6145  1 Li 2.76, 4 La 2.93-2.94, 2 Pt 2.99

Calculated values
calculated volume: 27.7 A^3/atom
symmetry: P2_1/m (11)
magnetization: 0.00 μB per formula unit

Quick one: most stable of them? entry 2

Entry 1
Computed, not measured: crystalline LiLaPu at its relaxed geometry at the PBE-GGA level of DFT.

Lattice parameters (Å, degrees): 7.4473 7.4473 7.4473 153.23 153.23 38.22
Last column: nearest neighbours and their distance in Å.
Sites, in units of the cell vectors:
Li 0.0000 0.0000 0.0000  4 Pu 3.26, 4 La 3.43, 4 Li 3.45
La 0.3282 0.3282 0.0000  4 Li 3.43, 4 La 3.45, 4 Pu 3.46
Pu 0.6535 0.6535 0.0000  4 Li 3.26, 4 Pu 3.45, 4 La 3.46

Calculated values
calculated volume: 27.9 A^3/atom
symmetry: I4mm (107)
magnetization: 6.16 μB per formula unit

Entry 2
Computed, not measured: crystalline LiLaPu at its relaxed geometry at the PBE-GGA level of DFT.

Lattice parameters (Å, degrees): 13.3325 13.3325 3.6017 90.00 90.00 165.85
Last column: nearest neighbours and their distance in Å.
Sites, in units of the cell vectors:
Li 0.0427 0.9573 0.7500  2 Li 2.89
Li 0.9573 0.0427 0.2500  2 Li 2.89
La 0.3588 0.6412 0.7500  4 La 3.28-3.60, 4 Pu 3.29-3.42, 4 Li 3.57
La 0.6412 0.3588 0.2500  4 La 3.28-3.60, 4 Pu 3.29-3.42, 4 Li 3.57
Pu 0.2488 0.7512 0.2500  4 Pu 2.44
Pu 0.7512 0.2488 0.7500  4 Pu 2.44

Calculated values
calculated volume: 26.1 A^3/atom
symmetry: Cmcm (63)
magnetization: 0.00 μB per formula unit

Quick one: most stable of them? entry 1